No. 1
! PBE-GGA Pm12Cd6Ag, relaxed; values from VASP
! E_form   -114 meV per atom
&SYSTEM
  ibrav = 0, nat = 19, ntyp = 3
/
ATOMIC_SPECIES
Pm 145.00 Pm.upf
Cd 112.41 Cd.upf
Ag 107.87 Ag.upf
CELL_PARAMETERS angstrom
-1.328 -3.139 -7.477
-4.196 -6.322 3.152
-7.102 4.074 -0.697
ATOMIC_POSITIONS crystal
Pm 0.147 0.369 0.022
Pm 0.194 0.471 0.554
Pm 0.554 0.194 0.471
Pm 0.022 0.147 0.369
Pm 0.529 0.446 0.806
Pm 0.471 0.554 0.194
Pm 0.978 0.853 0.631
Pm 0.631 0.978 0.853
Pm 0.446 0.806 0.529
Pm 0.806 0.529 0.446
Pm 0.853 0.631 0.978
Pm 0.369 0.022 0.147
Cd 0.108 0.740 0.260
Cd 0.740 0.892 0.260
Cd 0.740 0.260 0.108
Cd 0.260 0.740 0.892
Cd 0.260 0.108 0.740
Cd 0.892 0.260 0.740
Ag 0.000 0.000 0.000

No. 2
! PBE-GGA Ac3GaGe2Au6, relaxed; values from VASP
! E_form   -551 meV per atom
&SYSTEM
  ibrav = 0, nat = 12, ntyp = 4
/
ATOMIC_SPECIES
Au 196.97 Au.upf
Ge 72.64 Ge.upf
Ga 69.72 Ga.upf
Ac 227.00 Ac.upf
CELL_PARAMETERS angstrom
6.609 0.000 0.000
-3.304 5.723 0.000
0.000 0.000 8.218
ATOMIC_POSITIONS crystal
Au 0.822 0.178 0.697
Au 0.822 0.644 0.697
Au 0.178 0.356 0.303
Au 0.356 0.178 0.697
Au 0.178 0.822 0.303
Au 0.644 0.822 0.303
Ge 0.667 0.333 0.928
Ge 0.333 0.667 0.072
Ga 0.000 0.000 0.500
Ac 0.000 0.000 0.000
Ac 0.667 0.333 0.334
Ac 0.333 0.667 0.666

No. 3
! PBE-GGA BeTlW2, relaxed; values from VASP
! E_form   886 meV per atom
! Excess energy over the best structure of this formula in the dataset   364.7 meV per atom
&SYSTEM
  ibrav = 0, nat = 4, ntyp = 3
/
ATOMIC_SPECIES
W 183.84 W.upf
Tl 204.38 Tl.upf
Be 9.01 Be.upf
CELL_PARAMETERS angstrom
5.249 0.008 0.027
-2.356 4.766 -0.014
0.537 0.796 2.638
ATOMIC_POSITIONS crystal
W 0.000 0.000 0.000
W 0.500 0.000 0.500
Tl 0.500 0.500 0.000
Be 0.000 0.500 0.500

No. 4
! PBE-GGA Pr2NiPb, relaxed; values from VASP
! E_form   -159 meV per atom
&SYSTEM
  ibrav = 0, nat = 8, ntyp = 3
/
ATOMIC_SPECIES
Ni 58.69 Ni.upf
Pb 207.20 Pb.upf
Pr 140.91 Pr.upf
CELL_PARAMETERS angstrom
4.933 0.000 0.000
0.000 8.936 0.006
-2.466 -2.231 5.223
ATOMIC_POSITIONS crystal
Ni 0.000 0.250 0.000
Ni 0.000 0.750 0.000
Pb 0.500 0.250 0.000
Pb 0.500 0.750 0.000
Pr 0.833 0.417 0.666
Pr 0.167 0.083 0.334
Pr 0.167 0.583 0.334
Pr 0.833 0.917 0.666

No. 5
! PBE-GGA NpVReMo, relaxed; values from VASP
! E_form   249 meV per atom
&SYSTEM
  ibrav = 0, nat = 4, ntyp = 4
/
ATOMIC_SPECIES
Np 237.00 Np.upf
Mo 95.94 Mo.upf
V 50.94 V.upf
Re 186.21 Re.upf
CELL_PARAMETERS angstrom
-1.444 -2.242 3.651
2.980 -1.998 2.750
0.748 1.683 4.129
ATOMIC_POSITIONS crystal
Np 0.250 0.250 0.250
Mo 0.000 0.000 0.000
V 0.500 0.500 0.500
Re 0.750 0.750 0.750

No. 6
! PBE-GGA In2ReSi, relaxed; values from VASP
! E_form (uncorrected)   266 kJ/mol of formula units
&SYSTEM
  ibrav = 0, nat = 4, ntyp = 3
/
ATOMIC_SPECIES
In 114.82 In.upf
Re 186.21 Re.upf
Si 28.09 Si.upf
CELL_PARAMETERS angstrom
-4.852 -0.151 -1.850
-0.311 -2.448 -4.572
2.137 -1.202 4.580
ATOMIC_POSITIONS crystal
In 0.000 0.000 0.000
In 0.500 0.500 0.000
Re 0.250 0.750 0.500
Si 0.750 0.250 0.500

No. 7
! PBE-GGA Mn2Hg4N, relaxed; values from VASP
! E_form (uncorrected)   583 kJ/mol of formula units
&SYSTEM
  ibrav = 0, nat = 7, ntyp = 3
/
ATOMIC_SPECIES
N 14.01 N.upf
Mn 54.94 Mn.upf
Hg 200.59 Hg.upf
CELL_PARAMETERS angstrom
4.979 0.000 0.000
0.000 4.979 0.000
2.489 2.489 6.374
ATOMIC_POSITIONS crystal
N 0.000 0.000 0.000
Mn 0.394 0.394 0.212
Mn 0.606 0.606 0.788
Hg 0.000 0.500 0.000
Hg 0.500 0.000 0.000
Hg 0.189 0.189 0.623
Hg 0.811 0.811 0.377

No. 8
! PBE-GGA TaTl2In, relaxed; values from VASP
! E_form   456 meV per atom
! Excess energy over the best structure of this formula in the dataset   90.2 meV per atom
&SYSTEM
  ibrav = 0, nat = 4, ntyp = 3
/
ATOMIC_SPECIES
Tl 204.38 Tl.upf
Ta 180.95 Ta.upf
In 114.82 In.upf
CELL_PARAMETERS angstrom
7.666 0.031 -0.004
5.382 5.460 0.004
-5.973 -4.056 2.579
ATOMIC_POSITIONS crystal
Tl 0.750 0.250 0.500
Tl 0.062 0.062 0.000
Ta 0.254 0.754 0.500
In 0.434 0.434 0.000